# 1
The following is a PBE calculation of an optimized crystal structure of Zr2TiAg2, from the Alexandria database.

Cell lengths 7.9797, 7.9797, 3.2396 Å; angles 90.00, 90.00, 90.00 degrees
Last column: nearest neighbours and their distance in Å.
Space group P4/mbm (No. 127)
Symmetry-distinct sites (fractional):
Zr1 0.1763 0.3237 0.0000  6 Ag 2.79-2.92
Ti1 0.0000 0.0000 0.5000  4 Ag 3.16, 2 Ti 3.24, 8 Zr 3.36
Ag1 0.1229 0.6229 0.5000  1 Ag 2.77, 6 Zr 2.79-2.92

Output
Energy of formation: 180 meV/atom
E above lowest polymorph: 0.188 eV per atom
N(E_F): 12.0 states/eV/cell

=====

# 2
The following is a PBE calculation of an optimized crystal structure of TaSnBiRu, from the Alexandria database.

Cell lengths 3.1145, 4.3777, 7.5100 Å; angles 106.66, 101.91, 90.01 degrees
Last column: nearest neighbours and their distance in Å.
Space group P1 (No. 1)
Symmetry-distinct sites (fractional):
Ta1 0.0000 0.0000 0.0000  1 Ru 2.32
Sn1 0.3360 0.3386 0.6774  4 Ru 2.69
Bi1 0.6088 0.6074 0.2176  4 Ta 3.09, 2 Bi 3.11, 1 Ru 3.18
Ru1 0.8322 0.8348 0.6696  1 Ta 2.32

Output
Energy of formation: 237 meV/atom
E above lowest polymorph: 0.281 eV per atom
N(E_F): 2.4 states/eV/cell

=====

# 3
The following is a PBE calculation of an optimized crystal structure of TiReAg2, from the Alexandria database.

Cell lengths 6.4327, 6.4327, 6.4327 Å; angles 90.00, 90.00, 90.00 degrees
Last column: nearest neighbours and their distance in Å.
Space group Fm-3m (No. 225)
Symmetry-distinct sites (fractional):
Ti1 0.0000 0.0000 0.0000  8 Ag 2.79
Re1 0.0000 0.0000 0.5000  8 Ag 2.79
Ag1 0.2500 0.2500 0.2500  4 Re 2.79, 4 Ti 2.79

Output
Energy of formation: 674 meV/atom
E above lowest polymorph: 0.033 eV per atom
N(E_F): 14.0 states/eV/cell

=====

# 4
The following is a PBE calculation of an optimized crystal structure of BaSrH, from the Alexandria database.

Cell lengths 4.3883, 7.4456, 6.9882 Å; angles 90.00, 90.00, 90.00 degrees
Last column: nearest neighbours and their distance in Å.
Space group Pmc2_1 (No. 26)
Symmetry-distinct sites (fractional):
Ba1 0.0000 0.1668 0.0000  2 H 2.66-2.70
Sr1 0.5000 0.3114 0.5306  2 H 2.49
H1 0.0000 0.1738 0.6141  2 Sr 2.49, 2 Ba 2.66-2.70

Output
E above lowest polymorph: 0.016 eV per atom
N(E_F): 4.6 states/eV/cell